Below is a relaxed structure of EuPbO2, with properties calculated at the GGA-PBE level. Values from VASP.

ΔE_f (raw), eV/atom: -1.905
Calculated volume, Å³/atom: 19.9
Excess energy over the best structure of this formula in the dataset, meV per atom: 0.0
Electronic total energy, eV per atom: -7.880
Space group: No. 166

Geometry as Quantum ESPRESSO input:
```
&SYSTEM
  ibrav = 0, nat = 4, ntyp = 3
/
ATOMIC_SPECIES
Eu 151.96 Eu.upf
Pb 207.20 Pb.upf
O 16.00 O.upf
ATOMIC_POSITIONS crystal
Eu 0.000 0.000 0.000
Pb 0.500 0.500 0.500
O 0.387 0.387 0.387
O 0.613 0.613 0.613
CELL_PARAMETERS angstrom
1.804 1.041 7.048
-1.804 1.041 7.048
0.000 -2.083 7.048
```